K2PaMoO6: relaxed, GGA+U.

Structure (extended XYZ):
```
10
Lattice="-2.975 2.975 4.218 2.975 -2.975 4.218 2.975 2.975 -4.218" Properties=species:S:1:pos:R:3 pbc="T T T"
K 2.975 0.000 2.109
K 0.000 2.975 2.109
Pa 0.000 0.000 0.000
Mo 0.000 0.000 4.218
O 1.512 1.512 0.000
O 1.463 -1.463 4.218
O 0.000 0.000 2.300
O 0.000 0.000 6.136
O -1.463 1.463 4.218
O 1.463 1.463 4.218
```

## Properties
Total energy in eV/atom: -7.31